Entry 1:
A geometry-optimized Cu3I3Cl structure, computed with PBE-GGA.

## Properties
Formation energy without anion corrections, eV/f.u.: -1.75
Offset from the most stable computed form, eV/atom: 0.000
Total energy, eV/atom: -2.93
DOS(E_F), states/eV/cell: 14.1

a b c (Å): 4.0694 11.1865 11.1865
angles (deg): 120.00 90.00 90.00
Atoms (fractional coordinates):
I (0.2500, 0.3453, 0.3120)
I (0.2500, 0.6880, 0.0332)
I (0.7500, 0.3120, 0.9668)
I (0.7500, 0.6547, 0.6880)
I (0.2500, 0.9668, 0.6547)
I (0.7500, 0.0332, 0.3453)
Cl (0.7500, 0.6667, 0.3333)
Cl (0.2500, 0.3333, 0.6667)
Cu (0.7500, 0.5127, 0.4190)
Cu (0.7500, 0.5810, 0.0937)
Cu (0.7500, 0.9063, 0.4873)
Cu (0.2500, 0.4190, 0.9063)
Cu (0.2500, 0.0937, 0.5127)
Cu (0.2500, 0.4873, 0.5810)

***

Entry 2:
A geometry-optimized Cu3ICl3 structure, computed with PBE-GGA.

## Properties
Formation energy without anion corrections, eV/f.u.: -2.77
Total energy, eV/atom: -3.16
DOS(E_F), states/eV/cell: 6.7

a b c (Å): 7.7421 7.6926 7.6924
angles (deg): 119.98 90.00 90.00
Atoms (fractional coordinates):
Cl (0.2500, 0.1828, 0.8177)
Cl (0.7500, 0.8179, 0.6373)
Cl (0.2500, 0.6372, 0.8173)
Cl (0.7500, 0.3628, 0.1827)
Cl (0.2500, 0.1821, 0.3627)
Cl (0.7500, 0.8172, 0.1823)
Cu (0.2500, 0.8673, 0.7319)
Cu (0.2500, 0.8666, 0.1330)
Cu (0.7500, 0.7318, 0.8669)
Cu (0.7500, 0.1327, 0.2681)
Cu (0.2500, 0.2682, 0.1331)
Cu (0.7500, 0.1334, 0.8670)
I (0.2500, 0.6673, 0.3328)
I (0.7500, 0.3327, 0.6672)